# 1
A relaxed structure of K2ZrW. Source: the Alexandria database, functional PBE.

Properties
space-group type: No. 139

abc: 7.111 7.111 7.111
angles: 146.48 146.48 48.13
Each line ends with the local moment (μB).
Atoms (fractional coordinates):
Zr (0.750, 0.250, 0.500)  0.30
W (0.250, 0.750, 0.500)  -0.75
K (0.500, 0.500, 0.000)  0.02
K (0.000, 0.000, 0.000)  0.02

=====

# 2
A relaxed structure of LiHgIr. Source: the Alexandria database, functional PBE.

Properties
space-group type: No. 156

abc: 4.502 4.502 2.764
angles: 90.00 90.00 120.00
Each line ends with the local moment (μB).
Atoms (fractional coordinates):
Li (0.333, 0.667, 0.671)  0.00
Ir (0.667, 0.333, 0.391)  0.34
Hg (0.000, 0.000, 0.938)  0.00

=====

# 3
A relaxed structure of Pu2Al7Ag12. Source: the Alexandria database, functional PBE.

Properties
space-group type: No. 147

abc: 3.009 12.090 12.090
angles: 120.00 90.00 90.00
Each line ends with the local moment (μB).
Atoms (fractional coordinates):
Ag (0.757, 0.928, 0.759)  0.00
Ag (0.243, 0.169, 0.928)  0.00
Ag (0.757, 0.831, 0.072)  0.00
Ag (0.250, 0.454, 0.381)  0.00
Ag (0.757, 0.241, 0.169)  0.00
Ag (0.750, 0.073, 0.454)  0.00
Ag (0.750, 0.381, 0.927)  0.00
Ag (0.243, 0.072, 0.241)  0.00
Ag (0.243, 0.759, 0.831)  0.00
Ag (0.250, 0.927, 0.546)  0.00
Ag (0.750, 0.546, 0.619)  0.00
Ag (0.250, 0.619, 0.073)  0.00
Al (0.745, 0.581, 0.863)  -0.01
Al (0.745, 0.137, 0.718)  -0.01
Al (0.255, 0.419, 0.137)  -0.01
Al (0.255, 0.718, 0.581)  -0.01
Al (0.500, 0.000, 0.000)  0.00
Al (0.255, 0.863, 0.282)  -0.01
Al (0.745, 0.282, 0.419)  -0.01
Pu (0.246, 0.333, 0.667)  5.32
Pu (0.754, 0.667, 0.333)  5.32

=====

# 4
A relaxed structure of CaRe2Cl. Source: the Alexandria database, functional PBE.

Properties
space-group type: No. 12
formation energy without anion corrections: 0.1611 eV/atom

abc: 6.104 6.104 4.156
angles: 100.20 100.20 31.99
Atoms (fractional coordinates):
Ca (0.750, 0.750, 0.750)
Re (0.471, 0.471, 0.550)
Re (0.029, 0.029, 0.950)
Cl (0.250, 0.250, 0.250)

=====

# 5
A relaxed structure of BaZr2Co. Source: the Alexandria database, functional PBE.

Properties
space-group type: No. 47

abc: 3.392 5.222 5.264
angles: 90.00 90.00 90.00
Each line ends with the local moment (μB).
Atoms (fractional coordinates):
Zr (0.000, 0.000, 0.000)  -0.11
Zr (0.500, 0.500, 0.000)  -0.18
Co (0.000, 0.500, 0.500)  1.09
Ba (0.500, 0.000, 0.500)  -0.09

=====

# 6
A relaxed structure of Au3C. Source: the Alexandria database, functional PBE.

Properties
space-group type: No. 223

abc: 5.133 5.133 5.133
angles: 90.00 90.00 90.00
Atoms (fractional coordinates):
Au (0.500, 0.000, 0.750)
Au (0.500, 0.000, 0.250)
Au (0.000, 0.750, 0.500)
Au (0.750, 0.500, 0.000)
Au (0.000, 0.250, 0.500)
Au (0.250, 0.500, 0.000)
C (0.500, 0.500, 0.500)
C (0.000, 0.000, 0.000)

=====

What calculated total energy values result from the calculations? In sequence: -17.94 -10.65 -90.53 -28.10 -23.28 -12.62 eV per formula unit.
What magnetization values result from the calculations? In sequence: 0.3 0.3 10.8 0.0 0.4 0.0 μB per formula unit.